Compound: CaNiSn2Bi
Source: Alexandria
Functional: PBE
Structure: optimized geometry

Cell: 4.9525 4.9525 5.4125 Å, 90.00 90.00 90.00°
Closest atoms and distances in Å follow each position.
Sites, in units of the cell vectors:
Ca 0.0000 0.0000 0.5000  2 Ni 2.71
Sn 0.0000 0.5000 0.0000  2 Ni 2.48
Bi 0.5000 0.5000 0.5000  4 Ca 3.50, 8 Sn 3.67
Sn 0.5000 0.0000 0.0000  2 Ni 2.48
Ni 0.0000 0.0000 0.0000  4 Sn 2.48, 2 Ca 2.71

Calculated formation energy ... -0.246 eV/atom
D(E_F) ... 0.75 states/eV/atom
Crystal system ... tetragonal
Symmetry ... P4/mmm
Total DFT energy (no corrections) ... -4.1802 eV per atom